[1]
Compound: Nb5Si6Ni2
Source: OQMD
Functional: PBE
Structure: relaxed

abc: 9.1204 9.1204 9.1204
angles: 32.14 32.14 32.14
Element x y z (fractional)
Ni  0.5496  0.5496  0.5496
Si  0.4185  0.9125  0.9125
Nb  0.6523  0.6523  0.6523
Nb  0.3477  0.3477  0.3477
Nb  0.0000  0.0000  0.0000
Nb  0.8325  0.8325  0.8325
Si  0.9125  0.9125  0.4185
Nb  0.1675  0.1675  0.1675
Si  0.5815  0.0875  0.0875
Si  0.9125  0.4185  0.9125
Si  0.0875  0.0875  0.5815
Ni  0.4504  0.4504  0.4504
Si  0.0875  0.5815  0.0875

Calculated values
The value obtained for the total energy is -7.50 eV per atom. As for the symmetry: R-3m. For the total moment, the calculation gives 0.01 μB/f.u.

***

[2]
Compound: ScTc3W2
Source: OQMD
Functional: PBE
Structure: relaxed

abc: 3.1439 3.1439 9.6381
angles: 90.00 90.00 90.00
Element x y z (fractional)
Tc  0.0000  0.0000  0.3177
W  0.5000  0.5000  0.8327
W  0.5000  0.5000  0.1674
Tc  0.0000  0.0000  0.0000
Sc  0.5000  0.5000  0.5000
Tc  0.0000  0.0000  0.6823

Calculated values
The calculated formation energy comes out at -174 meV/atom. As for the symmetry: P4/mmm. For the total moment, the calculation gives 0.01 μB/f.u.

***

[3]
Compound: BeGaTcMo
Source: OQMD
Functional: PBE
Structure: relaxed

abc: 4.2475 4.2475 4.2475
angles: 60.00 60.00 60.00
Element x y z (fractional)
Tc  0.2500  0.2500  0.2500
Ga  0.5000  0.5000  0.5000
Mo  0.0000  0.0000  0.0000
Be  0.7500  0.7500  0.7500

Calculated values
As for the symmetry: F-43m. For the total moment, the calculation gives 0.00 μB/f.u. The value obtained for the excess energy over the best structure of this formula in the dataset is 0.000 eV/atom.

***

[4]
Compound: Sc2NbIr
Source: OQMD
Functional: PBE
Structure: relaxed

abc: 4.6520 4.6520 4.6520
angles: 60.00 60.00 60.00
Element x y z (fractional)
Ir  0.2500  0.2500  0.2500
Sc  0.7500  0.7500  0.7500
Sc  0.0000  0.0000  0.0000
Nb  0.5000  0.5000  0.5000

Calculated values
The calculated formation energy comes out at -276 meV/atom. As for the symmetry: F-43m. For the total moment, the calculation gives 0.02 μB/f.u.

***

[5]
Compound: Nd2PuS3
Source: OQMD
Functional: PBE
Structure: relaxed

abc: 6.9916 6.9916 6.9916
angles: 146.56 131.81 59.93
Site moments in Bohr magnetons follow the coordinates.
Element x y z (fractional)
Nd  0.6693  0.6693  0.0000  0.04
S  0.1605  0.6605  0.5000  -0.04
Nd  0.3307  0.3307  0.0000  0.04
S  0.5000  0.0000  0.5000  -0.04
S  0.8395  0.3395  0.5000  -0.04
Pu  0.0000  0.0000  0.0000  5.35

Calculated values
The value obtained for the total energy is -8.00 eV per atom. As for the symmetry: Immm. For the total moment, the calculation gives 5.75 μB/f.u.

***

[6]
Compound: ZnNi2
Source: OQMD
Functional: PBE
Structure: relaxed

abc: 4.8657 4.8657 3.9670
angles: 90.00 90.00 90.00
Element x y z (fractional)
Zn  0.5000  0.5000  0.5000
Zn  0.0000  0.0000  0.0000
Ni  0.3258  0.3258  0.0000
Ni  0.1742  0.8258  0.5000
Ni  0.6742  0.6742  0.0000
Ni  0.8258  0.1742  0.5000

Calculated values
The calculated formation energy comes out at 764 meV/atom. As for the symmetry: P4_2/mnm. For the total moment, the calculation gives 0.07 μB/f.u.

***

[7]
Compound: LiCoAuSeS2
Source: OQMD
Functional: PBE
Structure: relaxed

abc: 7.0484 7.0484 9.5064
angles: 90.00 90.00 153.13
Element x y z (fractional)
Li  0.6999  0.3001  0.7500
Co  0.0000  0.0000  0.5000
Se  0.9507  0.0493  0.2500
Au  0.3545  0.6455  0.7500
S  0.3853  0.6147  0.5092
Au  0.6455  0.3545  0.2500
Co  0.0000  0.0000  0.0000
Se  0.0493  0.9507  0.7500
S  0.6147  0.3853  0.0092
S  0.6147  0.3853  0.4908
S  0.3853  0.6147  0.9908
Li  0.3001  0.6999  0.2500

Calculated values
The value obtained for the total energy is -4.33 eV per atom. As for the symmetry: Cmcm. For the total moment, the calculation gives 0.00 μB/f.u.

***

[8]
Compound: SmFeCoSi2
Source: OQMD
Functional: PBE
Structure: relaxed

abc: 5.6018 5.6018 5.6018
angles: 138.66 138.66 59.89
Element x y z (fractional)
Sm  0.2500  0.7500  0.5000
Si  0.8839  0.3839  0.5000
Si  0.6161  0.1161  0.5000
Fe  0.5000  0.5000  0.0000
Co  0.0000  0.0000  0.0000

Calculated values
The value obtained for the total energy is -6.93 eV per atom. As for the symmetry: I-4m2. For the total moment, the calculation gives 0.00 μB/f.u.

***

[9]
Compound: Pa3AuBr
Source: OQMD
Functional: PBE
Structure: relaxed

abc: 6.2154 6.7590 6.7590
angles: 60.00 90.00 90.00
Site moments in Bohr magnetons follow the coordinates.
Element x y z (fractional)
Br  0.0000  0.3334  0.3334  0.00
Pa  0.7500  0.6777  0.8990  0.18
Br  0.5000  0.3334  0.3334  0.00
Pa  0.2500  0.6780  0.4231  0.19
Pa  0.2500  0.8990  0.6777  0.19
Pa  0.7500  0.4231  0.6780  0.18
Au  0.5000  0.0000  0.0000  0.01
Au  0.0000  0.0000  0.0000  0.00
Pa  0.7500  0.8992  0.4228  0.20
Pa  0.2500  0.4228  0.8992  0.17

Calculated values
The value obtained for the total energy is -6.68 eV per atom. As for the symmetry: P-6c2. For the total moment, the calculation gives 0.65 μB/f.u.

***

[10]
Compound: TlCu7S4
Source: OQMD
Functional: PBE
Structure: relaxed

abc: 10.1943 10.1943 7.5766
angles: 90.00 90.00 90.00
Element x y z (fractional)
Cu  0.5327  0.3604  0.3869
Cu  0.8026  0.2261  0.3449
S  0.4386  0.2591  0.6312
Cu  0.2261  0.1974  0.6551
Cu  0.1396  0.0327  0.3869
Cu  0.6321  0.5218  0.1196
S  0.9406  0.7600  0.8666
Cu  0.9782  0.1321  0.1196
Cu  0.6974  0.2739  0.6551
S  0.7400  0.4406  0.8666
S  0.2409  0.9386  0.6312
S  0.4406  0.2600  0.1334
Tl  0.5000  0.0000  0.3783
Cu  0.2500  0.2500  0.0000
S  0.2591  0.5614  0.3688
Cu  0.4673  0.6396  0.3869
Cu  0.1321  0.0218  0.8804
Cu  0.6396  0.5327  0.6131
Cu  0.2500  0.7500  0.0000
Cu  0.4782  0.6321  0.8804
S  0.7409  0.4386  0.3688
Cu  0.7739  0.8026  0.6551
Cu  0.3679  0.4782  0.1196
Cu  0.5218  0.3679  0.8804
S  0.0614  0.2409  0.3688
S  0.0594  0.2400  0.8666
Tl  0.0000  0.5000  0.6217
Cu  0.1974  0.7739  0.3449
S  0.9386  0.7591  0.3688
Cu  0.7500  0.7500  0.0000
Cu  0.7261  0.6974  0.3449
S  0.5614  0.7409  0.6312
S  0.2400  0.9406  0.1334
Cu  0.3026  0.7261  0.6551
Cu  0.0218  0.8679  0.1196
S  0.2600  0.5594  0.8666
S  0.5594  0.7400  0.1334
Cu  0.3604  0.4673  0.6131
Cu  0.7500  0.2500  0.0000
Cu  0.2739  0.3026  0.3449
Cu  0.8679  0.9782  0.8804
Tl  0.0000  0.5000  0.1168
Cu  0.8604  0.9673  0.3869
S  0.7600  0.0594  0.1334
S  0.7591  0.0614  0.6312
Tl  0.5000  0.0000  0.8832
Cu  0.9673  0.1396  0.6131
Cu  0.0327  0.8604  0.6131

Calculated values
The value obtained for the total energy is -3.91 eV per atom. As for the symmetry: P4/n.

***

[11]
Compound: AcInPd
Source: OQMD
Functional: PBE
Structure: relaxed

abc: 7.5935 4.7208 8.7314
angles: 90.00 90.00 90.00
Element x y z (fractional)
Pd  0.7634  0.7500  0.1206
Ac  0.0404  0.7500  0.6805
In  0.6414  0.7500  0.4382
Pd  0.2634  0.7500  0.3794
Ac  0.4596  0.2500  0.1805
In  0.1414  0.7500  0.0618
Ac  0.9596  0.2500  0.3195
Pd  0.2366  0.2500  0.8794
In  0.8586  0.2500  0.9382
Pd  0.7366  0.2500  0.6206
Ac  0.5404  0.7500  0.8195
In  0.3586  0.2500  0.5618

Calculated values
As for the symmetry: Pnma. For the total moment, the calculation gives 0.00 μB/f.u. The value obtained for the excess energy over the best structure of this formula in the dataset is 0.000 eV/atom.

***

[12]
Compound: HoTaSb
Source: OQMD
Functional: PBE
Structure: relaxed

abc: 4.7743 4.7743 4.7743
angles: 60.00 60.00 60.00
Site moments in Bohr magnetons follow the coordinates.
Element x y z (fractional)
Ho  0.0000  0.0000  0.0000  0.01
Ta  0.5000  0.5000  0.5000  0.14
Sb  0.7500  0.7500  0.7500  0.00

Calculated values
As for the symmetry: F-43m. For the total moment, the calculation gives 0.22 μB/f.u. The value obtained for the excess energy over the best structure of this formula in the dataset is 0.000 eV/atom.

***

[13]
Compound: TaNbPb
Source: OQMD
Functional: PBE
Structure: relaxed

abc: 4.6810 4.6810 4.6810
angles: 60.00 60.00 60.00
Element x y z (fractional)
Ta  0.7500  0.7500  0.7500
Pb  0.2500  0.2500  0.2500
Nb  0.0000  0.0000  0.0000

Calculated values
As for the symmetry: F-43m. For the total moment, the calculation gives 0.17 μB/f.u. The value obtained for the excess energy over the best structure of this formula in the dataset is 0.000 eV/atom.

***

[14]
Compound: Na3Co
Source: OQMD
Functional: PBE
Structure: relaxed

abc: 5.1383 5.1383 5.1383
angles: 60.00 60.00 60.00
Site moments in Bohr magnetons follow the coordinates.
Element x y z (fractional)
Na  0.2500  0.2500  0.2500  -0.01
Co  0.7500  0.7500  0.7500  1.75
Na  0.0000  0.0000  0.0000  -0.02
Na  0.5000  0.5000  0.5000  -0.02

Calculated values
The value obtained for the total energy is -2.09 eV per atom. As for the symmetry: Fm-3m. For the total moment, the calculation gives 1.50 μB/f.u.

***

[15]
Compound: PaReAu
Source: OQMD
Functional: PBE
Structure: relaxed

abc: 4.6566 4.6566 4.6566
angles: 60.00 60.00 60.00
Element x y z (fractional)
Pa  0.0000  0.0000  0.0000
Au  0.2500  0.2500  0.2500
Re  0.7500  0.7500  0.7500

Calculated values
The calculated formation energy comes out at 724 meV/atom. As for the symmetry: F-43m. For the total moment, the calculation gives 0.01 μB/f.u. The value obtained for the excess energy over the best structure of this formula in the dataset is 0.297 eV/atom.

***

[16]
Compound: NdZn2Pt2
Source: OQMD
Functional: PBE
Structure: relaxed

abc: 6.7082 6.7082 6.7082
angles: 145.45 145.45 49.67
Element x y z (fractional)
Pt  0.3883  0.3883  0.0000
Pt  0.6117  0.6117  0.0000
Nd  0.0000  0.0000  0.0000
Zn  0.2500  0.7500  0.5000
Zn  0.7500  0.2500  0.5000

Calculated values
The calculated formation energy comes out at -796 meV/atom. As for the symmetry: I4/mmm. For the total moment, the calculation gives 0.01 μB/f.u.

***

[17]
Compound: HfZrFeSn
Source: OQMD
Functional: PBE
Structure: relaxed

abc: 4.7163 4.7163 4.7163
angles: 60.00 60.00 60.00
Element x y z (fractional)
Fe  0.7500  0.7500  0.7500
Sn  0.0000  0.0000  0.0000
Zr  0.2500  0.2500  0.2500
Hf  0.5000  0.5000  0.5000

Calculated values
As for the symmetry: F-43m. For the total moment, the calculation gives 1.94 μB/f.u. The value obtained for the excess energy over the best structure of this formula in the dataset is 0.000 eV/atom.

***

[18]
Compound: Sm4Br3NCl2
Source: OQMD
Functional: PBE
Structure: relaxed

abc: 9.0749 9.0749 8.2030
angles: 103.39 103.39 24.13
Element x y z (fractional)
Sm  0.3604  0.3604  0.9243
Br  0.5000  0.5000  0.5000
Br  0.8287  0.8287  0.1770
Sm  0.9998  0.9998  0.2024
Br  0.1713  0.1713  0.8230
Cl  0.8400  0.8400  0.6688
Sm  0.0002  0.0002  0.7976
Cl  0.1600  0.1600  0.3312
Sm  0.6396  0.6396  0.0757
N  0.5000  0.5000  0.0000

Calculated values
The value obtained for the total energy is -5.32 eV per atom. As for the symmetry: C2/m. For the total moment, the calculation gives 0.00 μB/f.u.

***

[19]
Compound: LiTcGe
Source: OQMD
Functional: PBE
Structure: relaxed

abc: 4.1271 4.1271 4.1271
angles: 60.00 60.00 60.00
Element x y z (fractional)
Li  0.7500  0.7500  0.7500
Ge  0.2500  0.2500  0.2500
Tc  0.0000  0.0000  0.0000

Calculated values
As for the symmetry: F-43m. For the total moment, the calculation gives 0.36 μB/f.u. The value obtained for the excess energy over the best structure of this formula in the dataset is 0.274 eV/atom.

***

[20]
Compound: GaFeAgPd
Source: OQMD
Functional: PBE
Structure: relaxed

abc: 4.4045 4.4045 4.4045
angles: 60.00 60.00 60.00
Element x y z (fractional)
Ag  0.5000  0.5000  0.5000
Fe  0.7500  0.7500  0.7500
Ga  0.0000  0.0000  0.0000
Pd  0.2500  0.2500  0.2500

Calculated values
As for the symmetry: F-43m. For the total moment, the calculation gives 2.66 μB/f.u. The value obtained for the excess energy over the best structure of this formula in the dataset is 0.000 eV/atom.

***

[21]
Compound: YLuCoAs
Source: OQMD
Functional: PBE
Structure: relaxed

abc: 4.7926 4.7926 4.7926
angles: 60.00 60.00 60.00
Element x y z (fractional)
Lu  0.5000  0.5000  0.5000
Y  0.2500  0.2500  0.2500
As  0.0000  0.0000  0.0000
Co  0.7500  0.7500  0.7500

Calculated values
As for the symmetry: F-43m. For the total moment, the calculation gives 0.00 μB/f.u. The value obtained for the excess energy over the best structure of this formula in the dataset is 0.000 eV/atom.

***

[22]
Compound: GdSnSb
Source: OQMD
Functional: PBE
Structure: relaxed

abc: 5.1720 5.1720 5.1720
angles: 60.00 60.00 60.00
Element x y z (fractional)
Sn  0.7500  0.7500  0.7500
Gd  0.0000  0.0000  0.0000
Sb  0.2500  0.2500  0.2500

Calculated values
As for the symmetry: F-43m. For the total moment, the calculation gives 0.00 μB/f.u. The value obtained for the excess energy over the best structure of this formula in the dataset is 0.000 eV/atom.

***

[23]
Compound: MgZnCuAs
Source: OQMD
Functional: PBE
Structure: relaxed

abc: 4.5383 4.5383 4.5383
angles: 60.00 60.00 60.00
Element x y z (fractional)
Cu  0.7500  0.7500  0.7500
Mg  0.2500  0.2500  0.2500
Zn  0.5000  0.5000  0.5000
As  0.0000  0.0000  0.0000

Calculated values
As for the symmetry: F-43m. The value obtained for the excess energy over the best structure of this formula in the dataset is 0.000 eV/atom.

***

[24]
Compound: BeNbCuAs
Source: OQMD
Functional: PBE
Structure: relaxed

abc: 4.3396 4.3396 4.3396
angles: 60.00 60.00 60.00
Element x y z (fractional)
Cu  0.7500  0.7500  0.7500
Nb  0.5000  0.5000  0.5000
Be  0.2500  0.2500  0.2500
As  0.0000  0.0000  0.0000

Calculated values
As for the symmetry: F-43m. For the total moment, the calculation gives 1.17 μB/f.u. The value obtained for the excess energy over the best structure of this formula in the dataset is 0.285 eV/atom.

***

[25]
Compound: CoReTcPb
Source: OQMD
Functional: PBE
Structure: relaxed

abc: 4.4777 4.4777 4.4777
angles: 60.00 60.00 60.00
Site moments in Bohr magnetons follow the coordinates.
Element x y z (fractional)
Pb  0.0000  0.0000  0.0000  0.00
Tc  0.2500  0.2500  0.2500  0.14
Co  0.7500  0.7500  0.7500  1.50
Re  0.5000  0.5000  0.5000  0.98

Calculated values
As for the symmetry: F-43m. For the total moment, the calculation gives 2.64 μB/f.u. The value obtained for the excess energy over the best structure of this formula in the dataset is 0.000 eV/atom.

***

Number 1: mass density 6.5 Mg/m³, V 190.8 Å³/cell. Number 2: mass density 12.3 Mg/m³, V 95.3 Å³/cell. Number 3: mass density 8.4 Mg/m³, V 54.2 Å³/cell. Number 4: mass density 8.7 Mg/m³, V 71.2 Å³/cell. Number 5: mass density 7.5 Mg/m³, V 139.1 Å³/cell. Number 6: mass density 6.5 Mg/m³, V 93.9 Å³/cell. Number 7: mass density 6.3 Mg/m³, V 213.5 Å³/cell. Number 8: mass density 7.0 Mg/m³, V 75.9 Å³/cell. Number 9: mass density 13.1 Mg/m³, V 245.9 Å³/cell. Number 10: mass density 6.6 Mg/m³, V 787.4 Å³/cell. Number 11: mass density 9.5 Mg/m³, V 313.0 Å³/cell. Number 12: mass density 10.1 Mg/m³, V 76.9 Å³/cell. Number 13: mass density 11.0 Mg/m³, V 72.5 Å³/cell. Number 14: mass density 2.2 Mg/m³, V 95.9 Å³/cell. Number 15: mass density 14.3 Mg/m³, V 71.4 Å³/cell. Number 16: mass density 11.4 Mg/m³, V 96.6 Å³/cell. Number 17: mass density 9.9 Mg/m³, V 74.2 Å³/cell. Number 18: mass density 5.7 Mg/m³, V 268.4 Å³/cell. Number 19: mass density 5.9 Mg/m³, V 49.7 Å³/cell. Number 20: mass density 9.3 Mg/m³, V 60.4 Å³/cell. Number 21: mass density 8.5 Mg/m³, V 77.8 Å³/cell. Number 22: mass density 6.8 Mg/m³, V 97.8 Å³/cell. Number 23: mass density 5.7 Mg/m³, V 66.1 Å³/cell. Number 24: mass density 6.9 Mg/m³, V 57.8 Å³/cell. Number 25: mass density 14.4 Mg/m³, V 63.5 Å³/cell.